No. 1
Density functional theory data (GGA-PBE) for a relaxed structure of CoSnHgPt.

Spin magnetization in Bohr magnetons per cell: 5.445
Volume in Å³ per cell: 275
Energy above the lowest structure with this stoichiometry in meV per atom: 0
Total DFT energy (no corrections) in eV/atom: -4.253

Unit cell a=6.501 b=6.501 c=6.501 alpha=90.00 beta=90.00 gamma=90.00
Positions (direct):
Co: 0.000 0.000 0.000
Co: 0.000 0.500 0.500
Co: 0.500 0.000 0.500
Co: 0.500 0.500 0.000
Sn: 0.250 0.250 0.750
Sn: 0.250 0.750 0.250
Sn: 0.750 0.250 0.250
Sn: 0.750 0.750 0.750
Hg: 0.250 0.250 0.250
Hg: 0.250 0.750 0.750
Hg: 0.750 0.250 0.750
Hg: 0.750 0.750 0.250
Pt: 0.000 0.000 0.500
Pt: 0.000 0.500 0.000
Pt: 0.500 0.000 0.000
Pt: 0.500 0.500 0.500

***

No. 2
Density functional theory data (GGA-PBE) for a relaxed structure of Cs3As2Au.

Volume in Å³ per cell: 539
Total DFT energy (no corrections) in eV/atom: -2.803

Unit cell a=7.584 b=7.584 c=10.283 alpha=107.26 beta=107.26 gamma=83.90
Positions (direct):
Cs: 0.167 0.833 0.750
Cs: 0.257 0.347 0.017
Cs: 0.347 0.257 0.517
Cs: 0.653 0.743 0.483
Cs: 0.743 0.653 0.983
Cs: 0.833 0.167 0.250
As: 0.063 0.623 0.352
As: 0.377 0.937 0.148
As: 0.623 0.063 0.852
As: 0.937 0.377 0.648
Au: 0.204 0.796 0.250
Au: 0.796 0.204 0.750

***

No. 3
Density functional theory data (GGA-PBE) for a relaxed structure of Hf2AlPt.

Spin magnetization in Bohr magnetons per cell: 12.000
Volume in Å³ per cell: 292
Total DFT energy (no corrections) in eV/atom: -7.732

Unit cell a=6.631 b=6.631 c=6.631 alpha=90.00 beta=90.00 gamma=90.00
Positions (direct):
Hf: 0.000 0.000 0.000
Hf: 0.000 0.500 0.500
Hf: 0.250 0.250 0.250
Hf: 0.250 0.750 0.750
Hf: 0.500 0.000 0.500
Hf: 0.500 0.500 0.000
Hf: 0.750 0.250 0.750
Hf: 0.750 0.750 0.250
Al: 0.000 0.000 0.500
Al: 0.000 0.500 0.000
Al: 0.500 0.000 0.000
Al: 0.500 0.500 0.500
Pt: 0.250 0.250 0.750
Pt: 0.250 0.750 0.250
Pt: 0.750 0.250 0.250
Pt: 0.750 0.750 0.750

***

No. 4
Density functional theory data (GGA-PBE) for a relaxed structure of YPd2Pb.

Spin magnetization in Bohr magnetons per cell: 0.001
Volume in Å³ per cell: 83
Total DFT energy (no corrections) in eV/atom: -5.744

Unit cell a=4.694 b=4.694 c=3.781 alpha=90.00 beta=90.00 gamma=90.00
Positions (direct):
Y: 0.000 0.000 0.000
Pd: 0.000 0.500 0.500
Pd: 0.500 0.000 0.500
Pb: 0.500 0.500 0.000

***

No. 5
Density functional theory data (GGA-PBE) for a relaxed structure of LiDyCo.

Spin magnetization in Bohr magnetons per cell: 0.012
Volume in Å³ per cell: 215
Energy above the lowest structure with this stoichiometry in meV per atom: 0
Total DFT energy (no corrections) in eV/atom: -4.078

Unit cell a=5.989 b=5.989 c=5.989 alpha=90.00 beta=90.00 gamma=90.00
Positions (direct):
Li: 0.000 0.000 0.000
Li: 0.000 0.500 0.500
Li: 0.500 0.000 0.500
Li: 0.500 0.500 0.000
Dy: 0.250 0.250 0.750
Dy: 0.250 0.750 0.250
Dy: 0.750 0.250 0.250
Dy: 0.750 0.750 0.750
Co: 0.250 0.250 0.250
Co: 0.250 0.750 0.750
Co: 0.750 0.250 0.750
Co: 0.750 0.750 0.250

***

No. 6
Density functional theory data (GGA-PBE) for a relaxed structure of Sc4ZnSbN2.

Spin magnetization in Bohr magnetons per cell: 0.087
Volume in Å³ per cell: 131
Total DFT energy (no corrections) in eV/atom: -7.068

Unit cell a=3.280 b=3.280 c=14.042 alpha=90.00 beta=90.00 gamma=120.00
Positions (direct):
Sc: 0.000 0.000 0.161
Sc: 0.000 0.000 0.839
Sc: 0.333 0.667 0.332
Sc: 0.333 0.667 0.668
Zn: 0.333 0.667 0.000
Sb: 0.000 0.000 0.500
N: 0.667 0.333 0.250
N: 0.667 0.333 0.750

***

No. 7
Density functional theory data (GGA-PBE) for a relaxed structure of ZrZn.

Spin magnetization in Bohr magnetons per cell: 0.010
Volume in Å³ per cell: 156
Energy of formation from the pure elements in kJ/mol of formula units: 3
Total DFT energy (no corrections) in eV/atom: -4.892

Unit cell a=6.053 b=6.053 c=4.913 alpha=90.00 beta=90.00 gamma=120.00
Positions (direct):
Zr: 0.000 0.000 0.000
Zr: 0.166 0.333 0.500
Zr: 0.166 0.834 0.500
Zr: 0.667 0.834 0.500
Zn: 0.024 0.512 0.000
Zn: 0.488 0.512 0.000
Zn: 0.488 0.976 0.000
Zn: 0.667 0.333 0.500

***

No. 8
Density functional theory data (GGA-PBE) for a relaxed structure of K2PdBr4.

Volume in Å³ per cell: 247
Total DFT energy (no corrections) in eV/atom: -3.174

Unit cell a=4.393 b=7.504 c=7.497 alpha=90.00 beta=90.00 gamma=90.00
Positions (direct):
K: 0.000 0.000 0.000
K: 0.000 0.500 0.496
Pd: 0.500 0.500 0.996
Br: 0.500 0.266 0.763
Br: 0.500 0.267 0.230
Br: 0.500 0.733 0.230
Br: 0.500 0.734 0.763

***

- total DFT energy (no corrections) of number 1 (CoSnHgPt)?
  -4.253 eV/atom

***

- Which value of total DFT energy (no corrections) does entry 3 give?
  -7.732 eV/atom

***

- Which value of total DFT energy (no corrections) does entry 3 give?
  -7.732 eV/atom

***

- Which of these has the highest total DFT energy (no corrections)?
  Cs3As2Au